Record 1
First-principles (PBE) data for a relaxed NaZrCd3 crystal, as listed in Alexandria.

Geometry as CIF:
```
data_NaZrCd3
_cell_length_a 5.6824
_cell_length_b 5.6824
_cell_length_c 5.6824
_cell_angle_alpha 90.00
_cell_angle_beta 90.00
_cell_angle_gamma 90.00
_space_group_name_H-M_alt 'P 1'
_space_group_IT_number 1
loop_
_space_group_symop_operation_xyz
'x,y,z'
loop_
_atom_site_label
_atom_site_fract_x
_atom_site_fract_y
_atom_site_fract_z
_atom_site_occupancy
Cd1 0.0000 0.5000 0.0000 1
Cd2 0.5000 0.0000 0.0000 1
Cd3 0.0000 0.0000 0.5000 1
Zr1 0.0000 0.0000 0.0000 1
Na1 0.5000 0.5000 0.5000 1
```

Computed properties:
Uncorrected energy in eV/atom: -1.9427
Distance to the lowest polymorph of the same formula in eV/atom: 0.000
ΔH_f (0 K) in eV per formula unit: 2.899

---

Record 2
First-principles (PBE) data for a relaxed Y2InCu4Ge3 crystal, as listed in Alexandria.

Geometry as CIF:
```
data_Y2InCu4Ge3
_cell_length_a 4.1215
_cell_length_b 4.1215
_cell_length_c 10.5559
_cell_angle_alpha 90.00
_cell_angle_beta 90.00
_cell_angle_gamma 90.00
_space_group_name_H-M_alt 'P 1'
_space_group_IT_number 1
loop_
_space_group_symop_operation_xyz
'x,y,z'
loop_
_atom_site_label
_atom_site_fract_x
_atom_site_fract_y
_atom_site_fract_z
_atom_site_occupancy
Y1 0.0000 0.5000 0.7712 1
Y2 0.5000 0.0000 0.2288 1
Cu1 0.0000 0.5000 0.3506 1
Cu2 0.5000 0.5000 0.0000 1
Cu3 0.0000 0.0000 0.0000 1
Cu4 0.5000 0.0000 0.6494 1
Ge1 0.0000 0.0000 0.5000 1
Ge2 0.5000 0.0000 0.8719 1
Ge3 0.0000 0.5000 0.1281 1
In1 0.5000 0.5000 0.5000 1
```

Computed properties:
Uncorrected energy in eV/atom: -5.0263
ΔH_f (0 K) in eV per formula unit: -4.360